{
  "formula": "YCoTc2",
  "functional": "PBE",
  "state": "relaxed",
  "spacegroup": "P4/mmm (123)",
  "polymorph_energy_mev_per_atom": 153,
  "energy_ev_per_atom": -8.32,
  "lattice": [[3.1851, 0.0000, 0.0000], [0.0000, 3.1851, 0.0000], [0.0000, 0.0000, 6.7152]],
  "species": ["Y", "Co", "Tc", "Tc"],
  "fractional_positions": [[0.0000, 0.0000, 0.0000], [0.0000, 0.0000, 0.5000], [0.5000, 0.5000, 0.3209], [0.5000, 0.5000, 0.6791]]
}

=====

{
  "formula": "VFeI2N",
  "functional": "PBE",
  "state": "relaxed",
  "spacegroup": "P4/mmm (123)",
  "polymorph_energy_mev_per_atom": 89,
  "energy_ev_per_atom": -5.23,
  "lattice": [[5.3665, 0.0000, 0.0000], [0.0000, 5.3665, 0.0000], [0.0000, 0.0000, 3.4922]],
  "species": ["V", "Fe", "I", "I", "N"],
  "fractional_positions": [[0.0000, 0.0000, 0.0000], [0.5000, 0.5000, 0.5000], [0.0000, 0.5000, 0.5000], [0.5000, 0.0000, 0.5000], [0.5000, 0.5000, 0.0000]]
}